{
  "formula": "BeZnRh2",
  "functional": "GGA-PBE",
  "state": "optimized geometry",
  "magmom_total_mub_per_atom": 0.00,
  "relative_energy_mev_per_atom": 288.9,
  "space_group": "Pmmm (47)",
  "n_ef_per_ev_atom": 0.69,
  "lattice": [[2.925, 0.000, 0.000], [0.000, 3.940, 0.000], [0.000, 0.000, 4.528]],
  "species": ["Be", "Zn", "Rh", "Rh"],
  "fractional_positions": [[0.000, 0.000, 0.000], [0.500, 0.000, 0.500], [0.000, 0.500, 0.500], [0.500, 0.500, 0.000]]
}